BaPuFe2O8 PBE+U relaxed; volume = 16.78 Å³/atom; magnetization = 10.0 μB per formula unit; total DFT energy (no corrections) = -7.38 eV per atom
1.0
5.5071 0.0000 0.0000
-2.7536 4.7693 0.0000
0.0000 0.0000 7.6654
Ba Pu Fe O
1 1 2 8
direct
0.0000 0.0000 0.0000
0.0000 0.0000 0.5000
0.3333 0.6667 0.7348
0.6667 0.3333 0.2652
0.0490 0.3104 0.6616
0.2613 0.9510 0.6616
0.3104 0.2613 0.3384
0.3333 0.6667 0.9617
0.6667 0.3333 0.0383
0.6896 0.7387 0.6616
0.7387 0.0490 0.3384
0.9510 0.6896 0.3384